This record from Alexandria describes an optimized crystal structure of CaNd6Dy4. The functional is GGA-PBE.

```
data_CaNd6Dy4
_space_group_name_H-M_alt 'P 1'
_space_group_IT_number 1
_space_group_name_Hall 'P 1'
_cell_length_a 8.5867
_cell_length_b 8.5867
_cell_length_c 8.5867
_cell_angle_alpha 82.66
_cell_angle_beta 124.32
_cell_angle_gamma 124.32
loop_
_atom_site_label
_atom_site_fract_x
_atom_site_fract_y
_atom_site_fract_z
_atom_site_occupancy
Ca1 0.0000 0.0000 0.0000 1
Nd1 0.0000 0.7421 0.4077 1
Nd2 0.0000 0.4077 0.7421 1
Nd3 0.3344 0.5923 0.5923 1
Nd4 0.5000 0.5000 0.0000 1
Nd5 0.6656 0.2579 0.2579 1
Nd6 0.5000 0.0000 0.5000 1
Dy1 0.0000 0.5483 0.0748 1
Dy2 0.5265 0.4517 0.4517 1
Dy3 0.0000 0.0748 0.5483 1
Dy4 0.4735 0.9252 0.9252 1
```

For the formation energy from the elements, the calculation gives 0.42 eV per atom. The space group is I-42m, No. 121. For the volume, the calculation gives 414.7 Å³/cell. The magnetic moment comes out at 0.00 Bohr magnetons per cell.